# 1
Li2BeCu after structural relaxation. Source: Alexandria via LeMat-Bulk, functional PBE-GGA.

Results
Energy relative to the elements: 0.069 eV/atom
Total magnetization: 0.00 Bohr magnetons per cell
Uncorrected energy: -11.4 eV per cell

a b c (Å): 3.789 2.466 5.406
angles (deg): 75.22 90.00 90.00
Fractional coordinates of all 4 atoms:
Cu1 0.500 0.785 0.713
Li1 0.000 0.017 0.985
Li2 0.500 0.244 0.263
Be1 0.000 0.453 0.539



# 2
LiBe2Cu after structural relaxation. Source: Alexandria via LeMat-Bulk, functional PBE-GGA.

Results
Energy relative to the elements: 0.083 eV/atom
Energy above the lowest structure with this stoichiometry: 54 meV per atom
Total magnetization: 0.00 Bohr magnetons per cell
Uncorrected energy: -13.1 eV per cell

a b c (Å): 2.375 3.558 4.861
angles (deg): 90.00 90.00 90.00
Fractional coordinates of all 4 atoms:
Li1 0.500 0.500 0.755
Be1 0.000 0.000 0.024
Be2 0.500 0.500 0.239
Cu1 0.000 0.000 0.483



# 3
LiBe2Cu after structural relaxation. Source: Alexandria via LeMat-Bulk, functional PBE-GGA.

Results
Energy relative to the elements: 0.078 eV/atom
Energy above the lowest structure with this stoichiometry: 49 meV per atom
Total magnetization: 0.00 Bohr magnetons per cell
Uncorrected energy: -13.1 eV per cell

a b c (Å): 3.833 3.833 3.833
angles (deg): 60.00 60.00 60.00
Fractional coordinates of all 4 atoms:
Cu1 0.500 0.500 0.500
Be1 0.000 0.000 0.000
Be2 0.250 0.250 0.250
Li1 0.750 0.750 0.750



# 4
LiBeCu2 after structural relaxation. Source: Alexandria via LeMat-Bulk, functional PBE-GGA.

Results
Energy relative to the elements: -0.061 eV/atom
Total magnetization: 0.00 Bohr magnetons per cell
Uncorrected energy: -14.1 eV per cell

a b c (Å): 2.609 2.640 7.131
angles (deg): 68.09 90.00 90.00
Fractional coordinates of all 4 atoms:
Cu1 0.000 0.042 0.958
Cu2 0.000 0.458 0.542
Li1 0.500 0.250 0.250
Be1 0.500 0.750 0.750



# 5
LiBe2Cu after structural relaxation. Source: Alexandria via LeMat-Bulk, functional PBE-GGA.

Results
Energy relative to the elements: 0.097 eV/atom
Energy above the lowest structure with this stoichiometry: 68 meV per atom
Total magnetization: 0.00 Bohr magnetons per cell
Uncorrected energy: -13.1 eV per cell

a b c (Å): 2.771 3.792 3.790
angles (deg): 90.00 90.00 90.00
Fractional coordinates of all 4 atoms:
Li1 0.000 0.500 0.500
Be1 0.500 0.500 0.000
Be2 0.000 0.000 0.000
Cu1 0.500 0.000 0.500



# 6
LiBe2Cu after structural relaxation. Source: Alexandria via LeMat-Bulk, functional PBE-GGA.

Results
Energy relative to the elements: 0.045 eV/atom
Energy above the lowest structure with this stoichiometry: 16 meV per atom
Total magnetization: 0.00 Bohr magnetons per cell
Uncorrected energy: -13.3 eV per cell

a b c (Å): 4.581 4.581 3.930
angles (deg): 64.88 64.88 33.03
Fractional coordinates of all 4 atoms:
Be1 0.743 0.743 0.756
Be2 0.022 0.022 0.978
Li1 0.254 0.254 0.246
Cu1 0.481 0.481 0.520



# 7
LiBe6Cu12 after structural relaxation. Source: Alexandria via LeMat-Bulk, functional PBE-GGA.

Results
Energy relative to the elements: 0.028 eV/atom
Total magnetization: 0.00 Bohr magnetons per cell
Uncorrected energy: -72.9 eV per cell

a b c (Å): 5.916 5.916 5.916
angles (deg): 87.95 87.95 87.95
Fractional coordinates of all 19 atoms:
Cu1 0.838 0.632 0.988
Cu2 0.463 0.567 0.200
Cu3 0.537 0.433 0.800
Cu4 0.368 0.012 0.162
Cu5 0.162 0.368 0.012
Cu6 0.567 0.200 0.463
Cu7 0.800 0.537 0.433
Cu8 0.012 0.162 0.368
Cu9 0.988 0.838 0.632
Cu10 0.433 0.800 0.537
Cu11 0.200 0.463 0.567
Cu12 0.632 0.988 0.838
Be1 0.267 0.106 0.722
Be2 0.278 0.733 0.894
Be3 0.733 0.894 0.278
Be4 0.106 0.722 0.267
Be5 0.722 0.267 0.106
Be6 0.894 0.278 0.733
Li1 0.000 0.000 0.000



# 8
LiBe2Cu after structural relaxation. Source: Alexandria via LeMat-Bulk, functional PBE-GGA.

Results
Energy relative to the elements: 0.076 eV/atom
Energy above the lowest structure with this stoichiometry: 47 meV per atom
Total magnetization: 0.00 Bohr magnetons per cell
Uncorrected energy: -13.2 eV per cell

a b c (Å): 4.316 4.316 4.316
angles (deg): 139.47 129.41 66.73
Fractional coordinates of all 4 atoms:
Be1 0.505 0.505 0.000
Be2 0.995 0.995 0.000
Cu1 0.750 0.250 0.500
Li1 0.250 0.750 0.500